1.
# La2Pm3DyEr6 PBE-GGA relaxed
# DFT formation energy	17	meV per atom
# D(E_F)	1.13	states/eV per atom
data_La2Pm3DyEr6
_cell_length_a 6.2270
_cell_length_b 10.7827
_cell_length_c 11.7860
_cell_angle_alpha 90.00
_cell_angle_beta 100.12
_cell_angle_gamma 90.00
_symmetry_space_group_name_H-M 'C 1 2/m 1'
_symmetry_Int_Tables_number 12
_symmetry_space_group_name_Hall '-C 2y'
loop_
_atom_site_label
_atom_site_type_symbol
_atom_site_fract_x
_atom_site_fract_y
_atom_site_fract_z
La1 La 0.0000 0.1662 0.0000
Pm1 Pm 0.0000 0.0000 0.5000
Pm2 Pm 0.0000 0.3333 0.5000
Dy1 Dy 0.0000 0.5000 0.0000
Er1 Er 0.2481 0.5000 0.7484
Er2 Er 0.2498 0.1662 0.7487

2.
# Sr3LaTb2Te6 PBE-GGA relaxed
# energy relative to the elements, uncorrected	-1542	meV per atom
# D(E_F)	0.46	states/eV per atom
data_Sr3LaTb2Te6
_cell_length_a 7.8648
_cell_length_b 13.6096
_cell_length_c 8.0393
_cell_angle_alpha 90.00
_cell_angle_beta 109.07
_cell_angle_gamma 90.00
_symmetry_space_group_name_H-M 'C 1 2/m 1'
_symmetry_Int_Tables_number 12
_symmetry_space_group_name_Hall '-C 2y'
loop_
_atom_site_label
_atom_site_type_symbol
_atom_site_fract_x
_atom_site_fract_y
_atom_site_fract_z
Sr1 Sr 0.0000 0.0000 0.0000
Sr2 Sr 0.0000 0.3370 0.0000
La1 La 0.0000 0.5000 0.5000
Tb1 Tb 0.0000 0.1676 0.5000
Te1 Te 0.2351 0.0000 0.7341
Te2 Te 0.2494 0.1713 0.2627

3.
# Rb2CeAg2S4 PBE-GGA relaxed
# energy relative to the elements, uncorrected	-1109	meV per atom
data_Rb2CeAg2S4
_cell_length_a 15.1781
_cell_length_b 4.2004
_cell_length_c 7.9192
_cell_angle_alpha 90.00
_cell_angle_beta 109.64
_cell_angle_gamma 90.00
_symmetry_space_group_name_H-M 'C 1 2/m 1'
_symmetry_Int_Tables_number 12
_symmetry_space_group_name_Hall '-C 2y'
loop_
_atom_site_label
_atom_site_type_symbol
_atom_site_fract_x
_atom_site_fract_y
_atom_site_fract_z
Rb1 Rb 0.1362 0.0000 0.0668
Ce1 Ce 0.0000 0.0000 0.5000
Ag1 Ag 0.1784 0.5000 0.4835
S1 S 0.0107 0.5000 0.2729
S2 S 0.1911 0.0000 0.6828

4.
# AgPd2Cl PBE-GGA relaxed
# energy relative to the elements, uncorrected	267	meV per atom
# E above lowest polymorph	0	meV/atom
# D(E_F)	0.32	states/eV per atom
data_AgPd2Cl
_cell_length_a 3.8835
_cell_length_b 3.8835
_cell_length_c 19.4451
_cell_angle_alpha 90.00
_cell_angle_beta 90.00
_cell_angle_gamma 90.00
_symmetry_space_group_name_H-M 'I -4 2 d'
_symmetry_Int_Tables_number 122
_symmetry_space_group_name_Hall 'I -4 2bw'
loop_
_atom_site_label
_atom_site_type_symbol
_atom_site_fract_x
_atom_site_fract_y
_atom_site_fract_z
Ag1 Ag 0.0000 0.0000 0.0000
Pd1 Pd 0.2458 0.2500 0.6250
Cl1 Cl 0.0000 0.0000 0.5000

5.
# PmAlCo PBE-GGA relaxed
# E above lowest polymorph	0	meV/atom
# DFT formation energy	-381	meV per atom
# D(E_F)	0.85	states/eV per atom
data_PmAlCo
_cell_length_a 7.4335
_cell_length_b 4.5824
_cell_length_c 6.6620
_cell_angle_alpha 90.00
_cell_angle_beta 90.00
_cell_angle_gamma 90.00
_symmetry_space_group_name_H-M 'P n m a'
_symmetry_Int_Tables_number 62
_symmetry_space_group_name_Hall '-P 2ac 2n'
loop_
_atom_site_label
_atom_site_type_symbol
_atom_site_fract_x
_atom_site_fract_y
_atom_site_fract_z
Pm1 Pm 0.0400 0.2500 0.1842
Al1 Al 0.1831 0.2500 0.6221
Co1 Co 0.1411 0.7500 0.4383

6.
# Pm6TlBi PBE-GGA relaxed
# DFT formation energy	-319	meV per atom
# D(E_F)	1.12	states/eV per atom
data_Pm6TlBi
_cell_length_a 4.9797
_cell_length_b 4.9797
_cell_length_c 9.8695
_cell_angle_alpha 90.00
_cell_angle_beta 90.00
_cell_angle_gamma 90.00
_symmetry_space_group_name_H-M 'P 4/m m m'
_symmetry_Int_Tables_number 123
_symmetry_space_group_name_Hall '-P 4 2'
loop_
_atom_site_label
_atom_site_type_symbol
_atom_site_fract_x
_atom_site_fract_y
_atom_site_fract_z
Pm1 Pm 0.0000 0.0000 0.0000
Pm2 Pm 0.0000 0.0000 0.5000
Pm3 Pm 0.0000 0.5000 0.2503
Tl1 Tl 0.5000 0.5000 0.0000
Bi1 Bi 0.5000 0.5000 0.5000

7.
# RbSrNb2Pd PBE-GGA relaxed
# DFT formation energy	2374	meV per atom
# D(E_F)	1.34	states/eV per atom
data_RbSrNb2Pd
_cell_length_a 5.0839
_cell_length_b 5.0839
_cell_length_c 5.7962
_cell_angle_alpha 90.00
_cell_angle_beta 90.00
_cell_angle_gamma 90.00
_symmetry_space_group_name_H-M 'P 4/m m m'
_symmetry_Int_Tables_number 123
_symmetry_space_group_name_Hall '-P 4 2'
loop_
_atom_site_label
_atom_site_type_symbol
_atom_site_fract_x
_atom_site_fract_y
_atom_site_fract_z
Rb1 Rb 0.0000 0.0000 0.0000
Sr1 Sr 0.0000 0.0000 0.5000
Nb1 Nb 0.0000 0.5000 0.5000
Pd1 Pd 0.5000 0.5000 0.0000

8.
# K3Ga2Sn4 PBE-GGA relaxed
# E above lowest polymorph	19	meV/atom
# DFT formation energy	-173	meV per atom
# D(E_F)	0.23	states/eV per atom
data_K3Ga2Sn4
_cell_length_a 16.7409
_cell_length_b 11.1338
_cell_length_c 7.0360
_cell_angle_alpha 90.00
_cell_angle_beta 113.49
_cell_angle_gamma 90.00
_symmetry_space_group_name_H-M 'C 1 2/c 1'
_symmetry_Int_Tables_number 15
_symmetry_space_group_name_Hall '-C 2yc'
loop_
_atom_site_label
_atom_site_type_symbol
_atom_site_fract_x
_atom_site_fract_y
_atom_site_fract_z
K1 K 0.0000 0.0457 0.2500
K2 K 0.1046 0.3859 0.1033
Ga1 Ga 0.2125 0.1350 0.4254
Sn1 Sn 0.1333 0.2768 0.6401
Sn2 Sn 0.2039 0.1083 0.0246

9.
# SrMg2Cu4 PBE-GGA relaxed
# DFT formation energy	-98	meV per atom
# D(E_F)	0.22	states/eV per atom
data_SrMg2Cu4
_cell_length_a 8.1195
_cell_length_b 8.1195
_cell_length_c 8.0005
_cell_angle_alpha 90.00
_cell_angle_beta 90.00
_cell_angle_gamma 90.00
_symmetry_space_group_name_H-M 'I 4/m c m'
_symmetry_Int_Tables_number 140
_symmetry_space_group_name_Hall '-I 4 2c'
loop_
_atom_site_label
_atom_site_type_symbol
_atom_site_fract_x
_atom_site_fract_y
_atom_site_fract_z
Sr1 Sr 0.0000 0.0000 0.2500
Mg1 Mg 0.1687 0.3313 0.0000
Cu1 Cu 0.1257 0.3743 0.3419

10.
# Si23Ar3 PBE-GGA relaxed
# energy relative to the elements, uncorrected	104	meV per atom
# D(E_F)	0.00	states/eV per atom
data_Si23Ar3
_cell_length_a 10.2979
_cell_length_b 10.2979
_cell_length_c 10.2979
_cell_angle_alpha 90.00
_cell_angle_beta 90.00
_cell_angle_gamma 90.00
_symmetry_space_group_name_H-M 'P m -3 n'
_symmetry_Int_Tables_number 223
_symmetry_space_group_name_Hall '-P 4n 2 3'
loop_
_atom_site_label
_atom_site_type_symbol
_atom_site_fract_x
_atom_site_fract_y
_atom_site_fract_z
Si1 Si 0.0000 0.1178 0.3063
Si2 Si 0.0000 0.2500 0.5000
Si3 Si 0.1837 0.1837 0.1837
Ar1 Ar 0.0000 0.5000 0.2500

11.
# PmNpSbIr PBE-GGA relaxed
# energy relative to the elements, uncorrected	97	meV per atom
# D(E_F)	3.74	states/eV per atom
data_PmNpSbIr
_cell_length_a 7.1428
_cell_length_b 7.1428
_cell_length_c 7.1428
_cell_angle_alpha 90.00
_cell_angle_beta 90.00
_cell_angle_gamma 90.00
_symmetry_space_group_name_H-M 'F -4 3 m'
_symmetry_Int_Tables_number 216
_symmetry_space_group_name_Hall 'F -4 2 3'
loop_
_atom_site_label
_atom_site_type_symbol
_atom_site_fract_x
_atom_site_fract_y
_atom_site_fract_z
Pm1 Pm 0.0000 0.0000 0.0000
Np1 Np 0.2500 0.2500 0.2500
Sb1 Sb 0.0000 0.0000 0.5000
Ir1 Ir 0.2500 0.2500 0.7500

12.
# YW2Au PBE-GGA relaxed
# E above lowest polymorph	496	meV/atom
# DFT formation energy	634	meV per atom
# D(E_F)	0.50	states/eV per atom
data_YW2Au
_cell_length_a 2.8046
_cell_length_b 4.9502
_cell_length_c 5.5877
_cell_angle_alpha 90.00
_cell_angle_beta 90.00
_cell_angle_gamma 90.00
_symmetry_space_group_name_H-M 'P m m m'
_symmetry_Int_Tables_number 47
_symmetry_space_group_name_Hall '-P 2 2'
loop_
_atom_site_label
_atom_site_type_symbol
_atom_site_fract_x
_atom_site_fract_y
_atom_site_fract_z
Y1 Y 0.0000 0.0000 0.0000
W1 W 0.5000 0.5000 0.2357
Au1 Au 0.0000 0.0000 0.5000

13.
# InTeRu2 PBE-GGA relaxed
# energy relative to the elements, uncorrected	445	meV per atom
# E above lowest polymorph	279	meV/atom
# D(E_F)	1.54	states/eV per atom
data_InTeRu2
_cell_length_a 3.8720
_cell_length_b 3.8720
_cell_length_c 9.5822
_cell_angle_alpha 90.00
_cell_angle_beta 90.00
_cell_angle_gamma 90.00
_symmetry_space_group_name_H-M 'I -4 m 2'
_symmetry_Int_Tables_number 119
_symmetry_space_group_name_Hall 'I -4 -2'
loop_
_atom_site_label
_atom_site_type_symbol
_atom_site_fract_x
_atom_site_fract_y
_atom_site_fract_z
In1 In 0.0000 0.0000 0.0000
Te1 Te 0.0000 0.5000 0.2500
Ru1 Ru 0.0000 0.0000 0.5000
Ru2 Ru 0.0000 0.5000 0.7500

14.
# LiTb2Zn12Cu3 PBE-GGA relaxed
# DFT formation energy	193	meV per atom
# D(E_F)	0.40	states/eV per atom
data_LiTb2Zn12Cu3
_cell_length_a 8.8281
_cell_length_b 8.8281
_cell_length_c 16.3111
_cell_angle_alpha 90.00
_cell_angle_beta 90.00
_cell_angle_gamma 120.00
_symmetry_space_group_name_H-M 'R -3 m'
_symmetry_Int_Tables_number 166
_symmetry_space_group_name_Hall '-R 3 2"'
loop_
_atom_site_label
_atom_site_type_symbol
_atom_site_fract_x
_atom_site_fract_y
_atom_site_fract_z
Li1 Li 0.0000 0.0000 0.0000
Tb1 Tb 0.0000 0.0000 0.3951
Zn1 Zn 0.0012 0.5006 0.6441
Zn2 Zn 0.0202 0.5101 0.8104
Cu1 Cu 0.0000 0.5000 0.5000

15.
# MnZn2Pt PBE-GGA relaxed
# DFT formation energy	-271	meV per atom
# D(E_F)	0.37	states/eV per atom
data_MnZn2Pt
_cell_length_a 2.8274
_cell_length_b 3.7004
_cell_length_c 5.4895
_cell_angle_alpha 90.00
_cell_angle_beta 90.00
_cell_angle_gamma 90.00
_symmetry_space_group_name_H-M 'P m m m'
_symmetry_Int_Tables_number 47
_symmetry_space_group_name_Hall '-P 2 2'
loop_
_atom_site_label
_atom_site_type_symbol
_atom_site_fract_x
_atom_site_fract_y
_atom_site_fract_z
Mn1 Mn 0.0000 0.0000 0.0000
Zn1 Zn 0.5000 0.5000 0.2494
Pt1 Pt 0.0000 0.0000 0.5000

16.
# BaYIn PBE-GGA relaxed
# E above lowest polymorph	0	meV/atom
# DFT formation energy	-337	meV per atom
# D(E_F)	0.56	states/eV per atom
data_BaYIn
_cell_length_a 5.2694
_cell_length_b 5.2694
_cell_length_c 8.3410
_cell_angle_alpha 90.00
_cell_angle_beta 90.00
_cell_angle_gamma 90.00
_symmetry_space_group_name_H-M 'P 4/n m m'
_symmetry_Int_Tables_number 129
loop_
_symmetry_equiv_pos_as_xyz
'x,y,z'
'-x,-y,-z'
'-y+1/2,x,z'
'y+1/2,-x,-z'
'-x+1/2,-y+1/2,z'
'x+1/2,y+1/2,-z'
'y,-x+1/2,z'
'-y,x+1/2,-z'
'x+1/2,-y,-z'
'-x+1/2,y,z'
'-y,-x,-z'
'y,x,z'
'-x,y+1/2,-z'
'x,-y+1/2,z'
'y+1/2,x+1/2,-z'
'-y+1/2,-x+1/2,z'
loop_
_atom_site_label
_atom_site_type_symbol
_atom_site_fract_x
_atom_site_fract_y
_atom_site_fract_z
Ba1 Ba 0.2500 0.2500 0.1413
Y1 Y 0.2500 0.7500 0.5000
In1 In 0.2500 0.2500 0.7136

17.
# MnTl2Zn PBE-GGA relaxed
# E above lowest polymorph	227	meV/atom
# DFT formation energy	488	meV per atom
# D(E_F)	0.71	states/eV per atom
data_MnTl2Zn
_cell_length_a 7.7868
_cell_length_b 7.7868
_cell_length_c 6.2404
_cell_angle_alpha 90.00
_cell_angle_beta 90.00
_cell_angle_gamma 90.00
_symmetry_space_group_name_H-M 'I -4 2 d'
_symmetry_Int_Tables_number 122
_symmetry_space_group_name_Hall 'I -4 2bw'
loop_
_atom_site_label
_atom_site_type_symbol
_atom_site_fract_x
_atom_site_fract_y
_atom_site_fract_z
Mn1 Mn 0.0000 0.0000 0.0000
Tl1 Tl 0.2445 0.2500 0.6250
Zn1 Zn 0.0000 0.0000 0.5000

18.
# Pm3Er5In2 PBE-GGA relaxed
# DFT formation energy	54	meV per atom
# D(E_F)	1.32	states/eV per atom
data_Pm3Er5In2
_cell_length_a 12.7789
_cell_length_b 15.6018
_cell_length_c 6.3763
_cell_angle_alpha 90.00
_cell_angle_beta 90.00
_cell_angle_gamma 90.00
_symmetry_space_group_name_H-M 'I b a m'
_symmetry_Int_Tables_number 72
_symmetry_space_group_name_Hall '-I 2 2c'
loop_
_atom_site_label
_atom_site_type_symbol
_atom_site_fract_x
_atom_site_fract_y
_atom_site_fract_z
Pm1 Pm 0.0000 0.0000 0.2500
Pm2 Pm 0.1159 0.2374 0.0000
Er1 Er 0.0000 0.5000 0.2500
Er2 Er 0.1234 0.3372 0.5000
Er3 Er 0.2468 0.5000 0.2500
In1 In 0.1383 0.1474 0.5000

19.
# InFe2Sn2 PBE-GGA relaxed
# DFT formation energy	478	meV per atom
# D(E_F)	1.15	states/eV per atom
data_InFe2Sn2
_cell_length_a 4.1480
_cell_length_b 4.1480
_cell_length_c 11.0946
_cell_angle_alpha 90.00
_cell_angle_beta 90.00
_cell_angle_gamma 90.00
_symmetry_space_group_name_H-M 'I 4/m m m'
_symmetry_Int_Tables_number 139
_symmetry_space_group_name_Hall '-I 4 2'
loop_
_atom_site_label
_atom_site_type_symbol
_atom_site_fract_x
_atom_site_fract_y
_atom_site_fract_z
In1 In 0.0000 0.0000 0.0000
Fe1 Fe 0.0000 0.0000 0.4000
Sn1 Sn 0.0000 0.5000 0.2500

20.
# BPtAu2Br PBE-GGA relaxed
# energy relative to the elements, uncorrected	1431	meV per atom
# D(E_F)	0.48	states/eV per atom
data_BPtAu2Br
_cell_length_a 5.2050
_cell_length_b 5.2050
_cell_length_c 4.9147
_cell_angle_alpha 90.00
_cell_angle_beta 90.00
_cell_angle_gamma 90.00
_symmetry_space_group_name_H-M 'P 4/m m m'
_symmetry_Int_Tables_number 123
_symmetry_space_group_name_Hall '-P 4 2'
loop_
_atom_site_label
_atom_site_type_symbol
_atom_site_fract_x
_atom_site_fract_y
_atom_site_fract_z
B1 B 0.0000 0.0000 0.0000
Pt1 Pt 0.5000 0.5000 0.5000
Au1 Au 0.0000 0.5000 0.5000
Br1 Br 0.5000 0.5000 0.0000

21.
# KNa4Sb4 PBE-GGA relaxed
# energy relative to the elements, uncorrected	-226	meV per atom
# D(E_F)	0.73	states/eV per atom
data_KNa4Sb4
_cell_length_a 10.3383
_cell_length_b 10.3383
_cell_length_c 6.2971
_cell_angle_alpha 90.00
_cell_angle_beta 90.00
_cell_angle_gamma 90.00
_symmetry_space_group_name_H-M 'P 42/n'
_symmetry_Int_Tables_number 86
loop_
_symmetry_equiv_pos_as_xyz
'x,y,z'
'-x,-y,-z'
'-y,x+1/2,z+1/2'
'y,-x+1/2,-z+1/2'
'-x+1/2,-y+1/2,z'
'x+1/2,y+1/2,-z'
'y+1/2,-x,z+1/2'
'-y+1/2,x,-z+1/2'
loop_
_atom_site_label
_atom_site_type_symbol
_atom_site_fract_x
_atom_site_fract_y
_atom_site_fract_z
K1 K 0.2500 0.2500 0.2500
Na1 Na 0.0989 0.6320 0.1205
Sb1 Sb 0.0583 0.5946 0.6229